Entry 1:
This record from Alexandria describes a relaxed Hg2PtW crystal. The functional is GGA-PBE.

Values from the calculation:
DFT formation energy	0.28	eV per atom
DFT total energy	-0.1696	hartree per atom
DOS at the Fermi energy	0.71	states/eV/atom
calculated volume	19.1	Å³/atom
symmetry	No. 160
E above lowest polymorph	77	meV/atom
size of the total moment	0.000	μB per atom

Unit cell a=10.394 b=10.394 c=10.394 alpha=16.21 beta=16.21 gamma=16.21
Element x y z (fractional)
Hg 0.008 0.008 0.008
Hg 0.242 0.242 0.242
Pt 0.493 0.493 0.493
W 0.758 0.758 0.758

Entry 2:
This record from Alexandria describes a relaxed TcPRu3 crystal. The functional is GGA-PBE.

Values from the calculation:
DFT formation energy	1.85	eV per atom
DFT total energy	-0.2525	hartree per atom
DOS at the Fermi energy	1.30	states/eV/atom
calculated volume	19.7	Å³/atom
symmetry	No. 221
E above lowest polymorph	1186	meV/atom
size of the total moment	0.247	μB per atom

Unit cell a=4.620 b=4.620 c=4.620 alpha=90.00 beta=90.00 gamma=90.00
Element x y z (fractional)
Ru 0.000 0.500 0.000
Ru 0.000 0.000 0.500
Ru 0.500 0.000 0.000
Tc 0.000 0.000 0.000
P 0.500 0.500 0.500

Entry 3:
This record from Alexandria describes a relaxed CaTmCuTe3 crystal. The functional is GGA-PBE.

Values from the calculation:
DFT total energy	-0.1640	hartree per atom
formation energy from raw total energies	-654.2	kJ/mol of formula units
calculated volume	29.2	Å³/atom
symmetry	No. 11
size of the total moment	0.000	μB per atom

Unit cell a=4.228 b=8.543 c=9.948 alpha=102.75 beta=90.00 gamma=90.00
Element x y z (fractional)
Ca 0.250 0.194 0.274
Ca 0.750 0.806 0.726
Tm 0.250 0.677 0.169
Tm 0.750 0.323 0.831
Cu 0.250 0.074 0.580
Cu 0.750 0.926 0.420
Te 0.750 0.921 0.149
Te 0.250 0.079 0.851
Te 0.250 0.753 0.478
Te 0.750 0.247 0.522
Te 0.750 0.416 0.153
Te 0.250 0.584 0.847

Entry 4:
This record from Alexandria describes a relaxed Hg2Pb2F7 crystal. The functional is GGA-PBE.

Values from the calculation:
DFT total energy	-0.1357	hartree per atom
formation energy from raw total energies	-1882.5	kJ/mol of formula units
DOS at the Fermi energy	0.21	states/eV/atom
calculated volume	18.4	Å³/atom
symmetry	No. 65
E above lowest polymorph	12	meV/atom
size of the total moment	0.000	μB per atom

Unit cell a=5.961 b=5.834 c=5.834 alpha=86.15 beta=89.99 gamma=89.99
Element x y z (fractional)
Hg 0.500 0.269 0.269
Hg 0.500 0.731 0.731
Pb 0.000 0.250 0.750
Pb 0.000 0.750 0.250
F 0.765 0.000 0.500
F 0.235 0.500 0.000
F 0.235 0.000 0.500
F 0.765 0.500 0.000
F 0.500 0.000 0.000
F 0.224 0.500 0.500
F 0.776 0.500 0.500

Entry 5:
This record from Alexandria describes a relaxed SiPOsS2 crystal. The functional is GGA-PBE.

Values from the calculation:
DFT total energy	-0.1915	hartree per atom
formation energy from raw total energies	411.3	kJ/mol of formula units
DOS at the Fermi energy	1.18	states/eV/atom
calculated volume	20.1	Å³/atom
symmetry	No. 123
E above lowest polymorph	0	meV/atom
size of the total moment	0.000	μB per atom

Unit cell a=4.763 b=4.763 c=4.430 alpha=90.00 beta=90.00 gamma=90.00
Element x y z (fractional)
P 0.000 0.000 0.500
S 0.000 0.500 0.000
S 0.500 0.000 0.000
Os 0.000 0.000 0.000
Si 0.500 0.500 0.500

Entry 6:
This record from Alexandria describes a relaxed ScTcAgBr2 crystal. The functional is GGA-PBE.

Values from the calculation:
DFT total energy	-0.1355	hartree per atom
formation energy from raw total energies	429.7	kJ/mol of formula units
DOS at the Fermi energy	0.72	states/eV/atom
calculated volume	28.6	Å³/atom
symmetry	No. 123
size of the total moment	0.565	μB per atom

Unit cell a=5.173 b=5.348 c=5.173 alpha=90.00 beta=90.00 gamma=90.00
Element x y z (fractional)
Sc 0.500 0.500 0.500
Br 0.000 0.000 0.500
Br 0.500 0.000 0.000
Tc 0.000 0.500 0.000
Ag 0.000 0.000 0.000

Entry 7:
This record from Alexandria describes a relaxed AcScS2O crystal. The functional is GGA-PBE.

Values from the calculation:
DFT total energy	-0.2622	hartree per atom
formation energy from raw total energies	-1160.3	kJ/mol of formula units
DOS at the Fermi energy	0.03	states/eV/atom
calculated volume	21.7	Å³/atom
symmetry	No. 129
size of the total moment	0.000	μB per atom

Unit cell a=3.996 b=3.996 c=13.585 alpha=90.00 beta=90.00 gamma=90.00
Element x y z (fractional)
Ac 0.500 0.000 0.602
Ac 0.000 0.500 0.398
Sc 0.500 0.000 0.107
Sc 0.000 0.500 0.893
S 0.000 0.500 0.721
S 0.000 0.500 0.088
S 0.500 0.000 0.912
S 0.500 0.000 0.279
O 0.000 0.000 0.500
O 0.500 0.500 0.500

Entry 8:
This record from Alexandria describes a relaxed Ti2GaO crystal. The functional is GGA-PBE.

Values from the calculation:
DFT total energy	-0.2511	hartree per atom
formation energy from raw total energies	-342.9	kJ/mol of formula units
DOS at the Fermi energy	0.93	states/eV/atom
calculated volume	20.1	Å³/atom
symmetry	No. 166
E above lowest polymorph	571	meV/atom
size of the total moment	0.000	μB per atom

Unit cell a=3.860 b=3.860 c=6.603 alpha=73.00 beta=73.00 gamma=60.00
Element x y z (fractional)
O 0.000 0.000 0.000
Ga 0.500 0.500 0.500
Ti 0.098 0.098 0.707
Ti 0.902 0.902 0.293

Entry 9:
This record from Alexandria describes a relaxed Cs2SnI2 crystal. The functional is GGA-PBE.

Values from the calculation:
DFT total energy	-0.0845	hartree per atom
formation energy from raw total energies	-259.3	kJ/mol of formula units
DOS at the Fermi energy	1.93	states/eV/atom
calculated volume	63.6	Å³/atom
symmetry	No. 139
E above lowest polymorph	122	meV/atom
size of the total moment	0.400	μB per atom

Unit cell a=7.207 b=7.207 c=7.962 alpha=63.09 beta=63.09 gamma=90.00
Element x y z (fractional)
Cs 0.327 0.327 0.347
Cs 0.673 0.673 0.653
I 0.750 0.250 0.500
I 0.250 0.750 0.500
Sn 0.000 0.000 0.000

Entry 10:
This record from Alexandria describes a relaxed NaErBiPb crystal. The functional is GGA-PBE.

Values from the calculation:
DFT formation energy	-0.28	eV per atom
DFT total energy	-0.1341	hartree per atom
DOS at the Fermi energy	0.92	states/eV/atom
calculated volume	28.9	Å³/atom
symmetry	No. 216
size of the total moment	0.005	μB per atom

Unit cell a=5.466 b=5.466 c=5.466 alpha=60.00 beta=60.00 gamma=60.00
Element x y z (fractional)
Pb 0.000 0.000 0.000
Na 0.250 0.250 0.250
Bi 0.500 0.500 0.500
Er 0.750 0.750 0.750

Entry 11:
This record from Alexandria describes a relaxed Al2Sn2As crystal. The functional is GGA-PBE.

Values from the calculation:
DFT formation energy	0.26	eV per atom
DFT total energy	-0.1385	hartree per atom
DOS at the Fermi energy	0.49	states/eV/atom
calculated volume	22.8	Å³/atom
symmetry	No. 127
E above lowest polymorph	116	meV/atom
size of the total moment	0.000	μB per atom

Unit cell a=8.431 b=8.431 c=3.206 alpha=90.00 beta=90.00 gamma=90.00
Element x y z (fractional)
As 0.000 0.000 0.000
As 0.500 0.500 0.000
Sn 0.320 0.820 0.000
Sn 0.820 0.680 0.000
Sn 0.680 0.180 0.000
Sn 0.180 0.320 0.000
Al 0.119 0.619 0.500
Al 0.619 0.881 0.500
Al 0.881 0.381 0.500
Al 0.381 0.119 0.500

Entry 12:
This record from Alexandria describes a relaxed Pt2SeI crystal. The functional is GGA-PBE.

Values from the calculation:
DFT total energy	-0.1345	hartree per atom
formation energy from raw total energies	239.0	kJ/mol of formula units
DOS at the Fermi energy	1.22	states/eV/atom
calculated volume	19.5	Å³/atom
symmetry	No. 225
E above lowest polymorph	439	meV/atom
size of the total moment	0.000	μB per atom

Unit cell a=4.796 b=4.796 c=4.796 alpha=60.00 beta=60.00 gamma=60.00
Element x y z (fractional)
I 0.500 0.500 0.500
Se 0.000 0.000 0.000
Pt 0.250 0.250 0.250
Pt 0.750 0.750 0.750